First-principles (PBE+U) data for an optimized crystal structure of TeMoNO2, as listed in Alexandria via LeMat-Bulk.

As for the density: 6448 kg/m³. Its final energy is -5.4473 eV per atom. The density of states at the Fermi level is 0.2050 states/eV per atom.

The structure belongs to space group P4/mmm (No. 123); the cell edges are 4.025, 4.025 and 4.284 Å and the angles 90.00°, 90.00° and 90.00°. Symmetry generates all atoms from Te at (0.000, 0.000, 0.000), Mo at (0.500, 0.500, 0.500), N at (0.000, 0.000, 0.500) and O at (0.000, 0.500, 0.000).